Entry 1:
A plane-wave DFT calculation with meta-GGA SCAN was carried out for a PBEsol-optimized structure of Zr2InTe.

Unit cell a=3.4624 b=3.4624 c=26.6317 alpha=90.00 beta=90.00 gamma=120.00
Space group R-3m (No. 166, hexagonal axes)
One atom of each set of equivalent atoms:
Zr (0.0000, 0.0000, 0.2455)
In (0.0000, 0.0000, 0.0000)
Te (0.0000, 0.0000, 0.5000)

Results
E above lowest polymorph, eV/atom: 0.0908
ΔE_f (raw), eV per formula unit: -1.486


Entry 2:
A plane-wave DFT calculation with meta-GGA SCAN was carried out for a PBEsol-optimized structure of Zr2InTe.

Unit cell a=4.232 b=4.232 c=9.757 alpha=90.00 beta=90.00 gamma=90.00
Space group I-4m2 (No. 119)
One atom of each set of equivalent atoms:
Zr (0.000, 0.000, 0.000)
Zr (0.000, 0.500, 0.250)
In (0.000, 0.000, 0.500)
Te (0.000, 0.500, 0.750)

Results
E above lowest polymorph, eV/atom: 0.1020
ΔE_f (raw), eV per formula unit: -1.441


Entry 3:
A plane-wave DFT calculation with meta-GGA SCAN was carried out for a PBEsol-optimized structure of Zr2InTe.

Unit cell a=9.650 b=3.476 c=5.465 alpha=90.00 beta=101.58 gamma=90.00
Space group C2/m (No. 12)
One atom of each set of equivalent atoms:
Zr (0.247, 0.000, 0.244)
In (0.000, 0.000, 0.500)
Te (0.000, 0.500, 0.000)

Results
E above lowest polymorph, eV/atom: 0.1324
ΔE_f (raw), eV per formula unit: -1.319


Entry 4:
A plane-wave DFT calculation with meta-GGA SCAN was carried out for a PBEsol-optimized structure of ZrIn2Te.

Unit cell a=4.197 b=4.197 c=10.566 alpha=90.00 beta=90.00 gamma=90.00
Space group I4/mmm (No. 139)
One atom of each set of equivalent atoms:
Zr (0.000, 0.000, 0.000)
In (0.000, 0.500, 0.250)
Te (0.000, 0.000, 0.500)

Results
ΔE_f (raw), eV per formula unit: -0.805


Entry 5:
A plane-wave DFT calculation with meta-GGA SCAN was carried out for a PBEsol-optimized structure of Zr2InTe.

Unit cell a=3.613 b=5.736 c=4.565 alpha=90.00 beta=90.00 gamma=90.00
Space group Pmm2 (No. 25)
One atom of each set of equivalent atoms:
Zr (0.000, 0.000, 0.000)
Zr (0.500, 0.500, 0.499)
In (0.000, 0.500, 0.999)
Te (0.500, 0.000, 0.500)

Results
E above lowest polymorph, eV/atom: 0.0284
ΔE_f (raw), eV per formula unit: -1.735


Entry 6:
A plane-wave DFT calculation with meta-GGA SCAN was carried out for a PBEsol-optimized structure of ZrIn2Te.

Unit cell a=4.204 b=4.753 c=9.588 alpha=90.00 beta=90.00 gamma=90.00
Space group Cmmm (No. 65)
One atom of each set of equivalent atoms:
Zr (0.000, 0.000, 0.000)
In (0.000, 0.500, 0.223)
Te (0.000, 0.000, 0.500)

Results
ΔE_f (raw), eV per formula unit: -0.103


Entry 7:
A plane-wave DFT calculation with meta-GGA SCAN was carried out for a PBEsol-optimized structure of Zr2InTe.

Unit cell a=10.730 b=3.430 c=4.972 alpha=90.00 beta=102.97 gamma=90.00
Space group Cm (No. 8)
One atom of each set of equivalent atoms:
Zr (0.000, 0.000, 0.000)
Zr (0.220, 0.000, 0.596)
In (0.479, 0.000, 0.493)
Te (0.229, 0.500, 0.094)

Results
E above lowest polymorph, eV/atom: 0.0000
ΔE_f (raw), eV per formula unit: -1.849


Entry 8:
A plane-wave DFT calculation with meta-GGA SCAN was carried out for a PBEsol-optimized structure of ZrIn2Te.

Unit cell a=3.155 b=3.155 c=9.727 alpha=90.00 beta=90.00 gamma=90.00
Space group P4/mmm (No. 123)
One atom of each set of equivalent atoms:
Zr (0.000, 0.000, 0.000)
In (0.500, 0.500, 0.218)
Te (0.000, 0.000, 0.500)

Results
ΔE_f (raw), eV per formula unit: -0.107


Entry 9:
A plane-wave DFT calculation with meta-GGA SCAN was carried out for a PBEsol-optimized structure of Ti8In5.

Unit cell a=9.847 b=9.847 c=9.847 alpha=90.00 beta=90.00 gamma=90.00
Space group P-43m (No. 215)
One atom of each set of equivalent atoms:
Ti (0.000, 0.000, 0.358)
Ti (0.097, 0.097, 0.097)
Ti (0.139, 0.500, 0.500)
Ti (0.169, 0.169, 0.519)
Ti (0.171, 0.171, 0.829)
In (0.027, 0.309, 0.309)
In (0.341, 0.341, 0.341)
In (0.351, 0.351, 0.649)

Results
Energy of formation from the pure elements, eV per atom: -0.212


Entry 10:
A plane-wave DFT calculation with meta-GGA SCAN was carried out for a PBEsol-optimized structure of YTi2TlIn.

Unit cell a=5.050 b=5.050 c=5.478 alpha=90.00 beta=90.00 gamma=90.00
Space group P4/mmm (No. 123)
One atom of each set of equivalent atoms:
Y (0.000, 0.000, 0.000)
Ti (0.000, 0.500, 0.500)
Tl (0.000, 0.000, 0.500)
In (0.500, 0.500, 0.000)

Results
Energy of formation from the pure elements, eV per atom: 0.575


Entry 11:
A plane-wave DFT calculation with meta-GGA SCAN was carried out for a PBEsol-optimized structure of Ti3InW.

Unit cell a=4.775 b=4.775 c=4.775 alpha=90.00 beta=90.00 gamma=90.00
Space group Pm-3m (No. 221)
One atom of each set of equivalent atoms:
Ti (0.000, 0.000, 0.500)
In (0.000, 0.000, 0.000)
W (0.500, 0.500, 0.500)

Results
Energy of formation from the pure elements, eV per atom: 1.808


Entry 12:
A plane-wave DFT calculation with meta-GGA SCAN was carried out for a PBEsol-optimized structure of TlIn.

Unit cell a=3.875 b=5.167 c=10.753 alpha=90.00 beta=90.00 gamma=90.00
Space group Cmme (No. 67)
One atom of each set of equivalent atoms:
Tl (0.000, 0.250, 0.130)
In (0.000, 0.250, 0.620)

Results
Energy of formation from the pure elements, eV per atom: 0.049